(1)
Crystalline Zn2HgOs at its relaxed geometry, computed with GGA-PBE.

Output
* calculated volume: 15.66 Å³ per atom
* spin magnetization: 0.00 μB per formula unit
* density of states at the Fermi level: 2.048 states/eV/f.u.
* formation enthalpy at 0 K: 35 kJ per mole of atoms
* crystal system: tetragonal
* uncorrected energy: -3.16 eV per atom

Lattice parameters (Å, degrees): 4.1163 4.1163 3.6960 90.00 90.00 90.00
Closest atoms and distances in Å follow each position.
Space group P4/mmm (No. 123)
Asymmetric unit:
Zn: 0.0000 0.5000 0.0000 x2  4 Hg 2.77, 4 Os 2.77, 4 Zn 2.91
Hg: 0.0000 0.0000 0.5000 x1  8 Zn 2.77, 4 Os 2.91
Os: 0.5000 0.5000 0.5000 x1  8 Zn 2.77, 4 Hg 2.91

***

(2)
Crystalline BaMg2Al at its relaxed geometry, computed with GGA-PBE.

Output
* calculated volume: 29.22 Å³ per atom
* spin magnetization: 0.00 μB per formula unit
* density of states at the Fermi level: 2.405 states/eV/f.u.
* formation enthalpy at 0 K: 5 kJ per mole of atoms
* crystal system: monoclinic
* uncorrected energy: -2.16 eV per atom

Lattice parameters (Å, degrees): 3.5070 4.9539 6.8739 90.00 101.83 90.00
Closest atoms and distances in Å follow each position.
Space group P2/m (No. 10)
Asymmetric unit:
Ba: 0.0000 0.0000 0.0000 x1  2 Ba 3.51, 2 Al 3.52, 8 Mg 3.60-3.74
Mg: 0.3375 0.5000 0.6940 x2  2 Al 2.92, 2 Mg 3.11-3.18
Al: 0.5000 0.0000 0.5000 x1  4 Mg 2.92

***

(3)
Crystalline Pm5SmSc2 at its relaxed geometry, computed with GGA-PBE.

Output
* calculated volume: 32.11 Å³ per atom
* spin magnetization: 0.00 μB per formula unit
* density of states at the Fermi level: 10.643 states/eV/f.u.
* formation enthalpy at 0 K: 13 kJ per mole of atoms
* crystal system: tetragonal
* uncorrected energy: -5.00 eV per atom

Lattice parameters (Å, degrees): 9.1168 9.1168 12.3625 90.00 90.00 90.00
Closest atoms and distances in Å follow each position.
Space group I4/mcm (No. 140)
Asymmetric unit:
Pm: 0.0000 0.0000 0.0000 x4  2 Sm 3.09
Pm: 0.1468 0.3532 0.1584 x16  3 Sc 3.25-3.35, 3 Pm 3.49-3.51
Sm: 0.0000 0.0000 0.2500 x4  2 Pm 3.09
Sc: 0.1519 0.3481 0.5000 x8  8 Pm 3.25-3.46